(1)
TcAsBr2: optimized geometry, PBE-GGA.

Values from the calculation:
Crystal system = orthorhombic
Raw total energy = -3.81 eV per atom
Symmetry = Pmmm, No. 47

Lattice parameters (Å, degrees): 3.2455 5.9025 4.5809 90.00 90.00 90.00
Closest atoms and distances in Å follow each position.
Sites, in units of the cell vectors:
As  0.0000  0.5000  0.5000  4 Br 2.81
Tc  0.5000  0.0000  0.5000  4 Br 2.81
Br  0.0000  0.0000  0.0000  4 Tc 2.81
Br  0.5000  0.5000  0.0000  4 As 2.81


(2)
BeRh3N: optimized geometry, PBE-GGA.

Values from the calculation:
Crystal system = cubic
Raw total energy = -6.66 eV per atom
Symmetry = Pm-3m, No. 221

Lattice parameters (Å, degrees): 3.9930 3.9930 3.9930 90.00 90.00 90.00
Closest atoms and distances in Å follow each position.
Sites, in units of the cell vectors:
Be  0.5000  0.5000  0.5000  12 Rh 2.82
Rh  0.0000  0.5000  0.0000  2 N 2.00
Rh  0.0000  0.0000  0.5000  2 N 2.00
Rh  0.5000  0.0000  0.0000  2 N 2.00
N  0.0000  0.0000  0.0000  6 Rh 2.00


What did the second record say?
BeRh3N: optimized geometry, PBE-GGA.

Values from the calculation:
Crystal system = cubic
Raw total energy = -6.66 eV per atom
Symmetry = Pm-3m, No. 221

Lattice parameters (Å, degrees): 3.9930 3.9930 3.9930 90.00 90.00 90.00
Closest atoms and distances in Å follow each position.
Sites, in units of the cell vectors:
Be  0.5000  0.5000  0.5000  12 Rh 2.82
Rh  0.0000  0.5000  0.0000  2 N 2.00
Rh  0.0000  0.0000  0.5000  2 N 2.00
Rh  0.5000  0.0000  0.0000  2 N 2.00
N  0.0000  0.0000  0.0000  6 Rh 2.00